# TiWO5 | Alexandria | GGA+U | optimized geometry
# electronic total energy: -55.36 eV per cell
data_TiWO5
_cell_length_a 3.731
_cell_length_b 5.275
_cell_length_c 5.275
_cell_angle_alpha 73.82
_cell_angle_beta 69.29
_cell_angle_gamma 69.29
_space_group_name_H-M_alt 'P 1'
_space_group_IT_number 1
loop_
_space_group_symop_operation_xyz
'x,y,z'
loop_
_atom_site_label
_atom_site_fract_x
_atom_site_fract_y
_atom_site_fract_z
Ti1 0.500 0.500 0.500
W1 0.000 0.000 0.000
O1 0.742 0.258 0.258
O2 0.000 0.307 0.693
O3 0.500 0.000 0.000
O4 0.000 0.693 0.307
O5 0.258 0.742 0.742